Y2CuSb: relaxed, PBE-GGA.

a = 6.116 Å, b = 6.116 Å, c = 6.116 Å
α = 142.80°, β = 135.52°, γ = 59.33°
Fractional coordinates of all 4 atoms:
1 Y 0.000 0.000 0.000
2 Y 0.729 0.229 0.500
3 Cu 0.477 0.477 0.000
4 Sb 0.285 0.785 0.500

Calculated values
DFT total energy	-5.80	eV per atom

---

Y2Cu2Sb: relaxed, PBE-GGA.

a = 9.006 Å, b = 9.006 Å, c = 9.006 Å
α = 156.88°, β = 156.88°, γ = 32.92°
Fractional coordinates of all 5 atoms:
1 Y 0.114 0.114 0.000
2 Y 0.886 0.886 0.000
3 Cu 0.250 0.750 0.500
4 Cu 0.750 0.250 0.500
5 Sb 0.500 0.500 0.000

Calculated values
offset from the most stable computed form	111	kJ/mol of formula units

---

YCuSb: relaxed, PBE-GGA.

a = 5.849 Å, b = 7.298 Å, c = 7.270 Å
α = 90.00°, β = 117.67°, γ = 90.00°
Fractional coordinates of all 12 atoms:
1 Y 0.212 0.213 0.369
2 Y 0.212 0.287 0.869
3 Y 0.788 0.713 0.131
4 Y 0.788 0.787 0.631
5 Cu 0.205 0.580 0.540
6 Cu 0.205 0.920 0.040
7 Cu 0.795 0.080 0.960
8 Cu 0.795 0.420 0.460
9 Sb 0.335 0.588 0.214
10 Sb 0.335 0.912 0.714
11 Sb 0.665 0.088 0.286
12 Sb 0.665 0.412 0.786

Calculated values
DFT total energy	-5.53	eV per atom

---

ZnCuSb2: relaxed, PBE-GGA.

a = 8.792 Å, b = 8.792 Å, c = 8.792 Å
α = 22.32°, β = 22.32°, γ = 22.32°
Fractional coordinates of all 4 atoms:
1 Zn 0.000 0.000 0.000
2 Cu 0.730 0.730 0.730
3 Sb 0.247 0.247 0.247
4 Sb 0.469 0.469 0.469

Calculated values
DFT total energy	-3.15	eV per atom

---

ZnCuSb2: relaxed, PBE-GGA.

a = 3.182 Å, b = 3.891 Å, c = 7.079 Å
α = 90.00°, β = 100.42°, γ = 90.00°
Fractional coordinates of all 4 atoms:
1 Zn 0.000 0.000 0.000
2 Cu 0.500 0.000 0.500
3 Sb 0.181 0.500 0.719
4 Sb 0.819 0.500 0.281

Calculated values
DFT total energy	-3.18	eV per atom

---

ZnCuSb4: relaxed, PBE-GGA.

a = 6.164 Å, b = 6.164 Å, c = 6.164 Å
α = 60.00°, β = 60.00°, γ = 60.00°
Fractional coordinates of all 6 atoms:
1 Zn 0.000 0.000 0.000
2 Cu 0.750 0.750 0.750
3 Sb 0.374 0.374 0.374
4 Sb 0.374 0.374 0.877
5 Sb 0.374 0.877 0.374
6 Sb 0.877 0.374 0.374

Calculated values
DFT total energy	-3.04	eV per atom

---

Zn2Cu2Sb: relaxed, PBE-GGA.

a = 6.707 Å, b = 6.707 Å, c = 6.707 Å
α = 148.47°, β = 148.47°, γ = 45.20°
Fractional coordinates of all 5 atoms:
1 Zn 0.250 0.750 0.500
2 Zn 0.750 0.250 0.500
3 Cu 0.102 0.102 0.000
4 Cu 0.898 0.898 0.000
5 Sb 0.500 0.500 0.000

Calculated values
offset from the most stable computed form	0	kJ/mol of formula units

---

ZnCu3Sb: relaxed, PBE-GGA.

a = 4.912 Å, b = 4.912 Å, c = 4.912 Å
α = 90.00°, β = 90.00°, γ = 90.00°
Fractional coordinates of all 5 atoms:
1 Zn 0.000 0.000 0.000
2 Cu 0.000 0.500 0.500
3 Cu 0.500 0.000 0.500
4 Cu 0.500 0.500 0.000
5 Sb 0.500 0.500 0.500

Calculated values
offset from the most stable computed form	43	kJ/mol of formula units

---

ZnCuSb2: relaxed, PBE-GGA.

a = 4.490 Å, b = 4.695 Å, c = 4.695 Å
α = 67.07°, β = 90.00°, γ = 90.00°
Fractional coordinates of all 4 atoms:
1 Zn 0.000 0.000 0.000
2 Cu 0.500 0.157 0.157
3 Sb 0.000 0.348 0.348
4 Sb 0.500 0.797 0.797

Calculated values
DFT total energy	-3.35	eV per atom

---

ZnCu3Sb: relaxed, PBE-GGA.

a = 4.502 Å, b = 4.502 Å, c = 4.502 Å
α = 90.00°, β = 90.00°, γ = 90.00°
Fractional coordinates of all 5 atoms:
1 Zn 0.000 0.000 0.000
2 Cu 0.000 0.000 0.500
3 Cu 0.000 0.500 0.000
4 Cu 0.500 0.000 0.000
5 Sb 0.500 0.500 0.500

Calculated values
offset from the most stable computed form	0	kJ/mol of formula units

---

ZnCuSb2: relaxed, PBE-GGA.

a = 4.625 Å, b = 4.625 Å, c = 3.881 Å
α = 90.00°, β = 90.00°, γ = 90.00°
Fractional coordinates of all 4 atoms:
1 Zn 0.000 0.000 0.000
2 Cu 0.500 0.500 0.000
3 Sb 0.000 0.500 0.500
4 Sb 0.500 0.000 0.500

Calculated values
DFT total energy	-3.12	eV per atom

---

ZnCuSb2: relaxed, PBE-GGA.

a = 6.858 Å, b = 6.858 Å, c = 6.858 Å
α = 33.18°, β = 33.18°, γ = 33.18°
Fractional coordinates of all 4 atoms:
1 Zn 0.000 0.000 0.000
2 Cu 0.500 0.500 0.500
3 Sb 0.241 0.241 0.241
4 Sb 0.759 0.759 0.759

Calculated values
DFT total energy	-3.29	eV per atom